No. 1
VASP calculation (PBE) on crystalline LiScRu4 at its relaxed geometry.

Geometry as POSCAR:
```
LiScRu4
1.0
0.000 3.642 3.642
3.642 0.000 3.642
3.642 3.642 0.000
Li Sc Ru
1 1 4
Cartesian
0.000 0.000 0.000
5.463 5.463 5.463
2.730 2.730 2.730
4.555 4.555 2.730
4.555 2.730 4.555
2.730 4.555 4.555
```

Results
Crystal system: cubic
Spin magnetization (μB per atom): 0.252
Energy of formation (eV per atom): 0.047
D(E_F) (states/eV/f.u.): 9.02


No. 2
VASP calculation (PBE) on crystalline Li2ScRu at its relaxed geometry.

Geometry as POSCAR:
```
Li2ScRu
1.0
3.228 0.000 0.000
0.000 3.251 0.000
-0.053 0.000 6.680
Li Sc Ru
2 1 1
Cartesian
0.000 0.000 0.000
1.594 1.625 1.560
1.580 1.625 4.329
3.196 0.000 3.003
```

Results
Crystal system: monoclinic
Spin magnetization (μB per atom): 0.000
Excess energy over the best structure of this formula in the dataset (eV/atom): 0.0000
Energy of formation (eV per atom): -0.068
D(E_F) (states/eV/f.u.): 1.67


No. 3
VASP calculation (PBE) on crystalline LiSc3Ru at its relaxed geometry.

Geometry as POSCAR:
```
LiSc3Ru
1.0
5.050 0.000 0.000
0.000 5.050 0.000
0.000 0.000 5.050
Li Sc Ru
1 3 1
Cartesian
0.000 0.000 0.000
0.000 2.525 2.525
2.525 0.000 2.525
2.525 2.525 0.000
2.525 2.525 2.525
```

Results
Crystal system: cubic
Spin magnetization (μB per atom): 0.000
Excess energy over the best structure of this formula in the dataset (eV/atom): 0.0000
Energy of formation (eV per atom): -0.042
D(E_F) (states/eV/f.u.): 4.61


spin magnetization of number 1 (LiScRu4)?
0.252 μB per atom


Number 2 is which compound?
Li2ScRu


Copy entry 3 word for word.
VASP calculation (PBE) on crystalline LiSc3Ru at its relaxed geometry.

Geometry as POSCAR:
```
LiSc3Ru
1.0
5.050 0.000 0.000
0.000 5.050 0.000
0.000 0.000 5.050
Li Sc Ru
1 3 1
Cartesian
0.000 0.000 0.000
0.000 2.525 2.525
2.525 0.000 2.525
2.525 2.525 0.000
2.525 2.525 2.525
```

Results
Crystal system: cubic
Spin magnetization (μB per atom): 0.000
Excess energy over the best structure of this formula in the dataset (eV/atom): 0.0000
Energy of formation (eV per atom): -0.042
D(E_F) (states/eV/f.u.): 4.61